1.
PBE-GGA Hg3W, optimized geometry; energy relative to the elements = 0.68 eV/atom; excess energy over the best structure of this formula in the dataset = 0.90 eV/f.u.
1.0
5.983 0.000 0.000
0.000 8.972 0.000
0.000 0.000 2.976
Hg W
6 2
Direct
0.000 0.000 0.000
0.250 0.250 0.500
0.250 0.750 0.500
0.500 0.500 0.000
0.750 0.250 0.500
0.750 0.750 0.500
0.000 0.500 0.000
0.500 0.000 0.000

---

2.
PBE-GGA CaBi2F, optimized geometry; uncorrected formation energy = -263 kJ/mol of formula units; excess energy over the best structure of this formula in the dataset = 0.00 eV/f.u.
1.0
7.438 0.000 0.000
0.000 7.438 0.000
0.000 0.000 7.438
Ca Bi F
4 8 4
Direct
0.000 0.000 0.000
0.000 0.500 0.500
0.500 0.000 0.500
0.500 0.500 0.000
0.250 0.250 0.250
0.250 0.250 0.750
0.250 0.750 0.250
0.250 0.750 0.750
0.750 0.250 0.250
0.750 0.250 0.750
0.750 0.750 0.250
0.750 0.750 0.750
0.000 0.000 0.500
0.000 0.500 0.000
0.500 0.000 0.000
0.500 0.500 0.500

---

3.
PBE-GGA CrCuAs2, optimized geometry; energy relative to the elements = 0.06 eV/atom
1.0
3.501 0.000 0.000
0.000 3.501 0.000
0.000 0.000 5.108
Cr Cu As
1 1 2
Direct
0.000 0.000 0.000
0.500 0.500 0.344
0.000 0.000 0.480
0.500 0.500 0.862

---

4.
PBE-GGA Nd2Cd3Pd5, optimized geometry; energy relative to the elements = -0.46 eV/atom
1.0
-5.784 6.405 2.888
5.784 -6.405 2.888
5.784 6.405 -2.888
Nd Cd Pd
4 6 10
Direct
0.224 0.124 0.348
0.276 0.624 0.901
0.724 0.376 0.099
0.776 0.876 0.652
0.138 0.382 0.520
0.250 0.250 0.000
0.362 0.882 0.244
0.638 0.118 0.756
0.750 0.750 0.000
0.862 0.618 0.480
0.153 0.867 0.020
0.250 0.005 0.755
0.250 0.495 0.245
0.250 0.750 0.500
0.347 0.367 0.715
0.653 0.633 0.285
0.750 0.250 0.500
0.750 0.505 0.755
0.750 0.995 0.245
0.847 0.133 0.980

---

5.
PBE-GGA CdAuN2O, optimized geometry; uncorrected formation energy = 702 kJ/mol of formula units
1.0
4.034 0.000 0.000
0.000 4.034 0.000
0.000 0.000 4.425
Cd Au N O
1 1 2 1
Direct
0.000 0.000 0.000
0.500 0.500 0.500
0.000 0.500 0.500
0.500 0.000 0.500
0.500 0.500 0.000

---

6.
PBE-GGA NaLaIO2, optimized geometry; uncorrected formation energy = -851 kJ/mol of formula units; excess energy over the best structure of this formula in the dataset = 0.00 eV/f.u.
1.0
4.483 0.000 0.000
0.000 4.483 0.000
0.000 0.000 6.935
Na La I O
1 1 1 2
Direct
0.000 0.000 0.000
0.500 0.500 0.500
0.500 0.500 0.000
0.000 0.500 0.500
0.500 0.000 0.500

---

7.
PBE-GGA NaZn2NiSn, optimized geometry; energy relative to the elements = -0.04 eV/atom
1.0
4.730 0.000 0.000
0.000 4.730 0.000
0.000 0.000 4.801
Na Zn Ni Sn
1 2 1 1
Direct
0.000 0.000 0.000
0.000 0.500 0.500
0.500 0.000 0.500
0.500 0.500 0.500
0.500 0.500 0.000

---

8.
PBE-GGA KLiZn17, optimized geometry; energy relative to the elements = -0.01 eV/atom
1.0
4.563 2.634 4.427
-4.563 2.634 4.427
0.000 -5.269 4.427
K Li Zn
1 1 17
Direct
0.000 0.000 0.000
0.328 0.328 0.328
0.009 0.009 0.495
0.009 0.495 0.009
0.151 0.661 0.661
0.311 0.311 0.798
0.311 0.798 0.311
0.359 0.651 0.958
0.359 0.958 0.651
0.495 0.009 0.009
0.553 0.553 0.553
0.651 0.359 0.958
0.651 0.958 0.359
0.661 0.151 0.661
0.661 0.661 0.151
0.752 0.752 0.752
0.798 0.311 0.311
0.958 0.359 0.651
0.958 0.651 0.359

---

9.
PBE-GGA CoOsCl2, optimized geometry; uncorrected formation energy = 371 kJ/mol of formula units; excess energy over the best structure of this formula in the dataset = 3.10 eV/f.u.
1.0
2.848 0.000 0.000
0.000 4.046 0.000
0.000 0.000 5.605
Co Os Cl
1 1 2
Direct
0.000 0.000 0.000
0.500 0.000 0.500
0.000 0.500 0.500
0.500 0.500 0.000

---

10.
PBE-GGA Er12Tm3Sc, optimized geometry; energy relative to the elements = 0.03 eV/atom
1.0
4.934 0.000 0.000
0.000 4.934 0.000
0.000 0.000 19.713
Er Tm Sc
12 3 1
Direct
0.000 0.000 0.000
0.000 0.000 0.248
0.000 0.000 0.500
0.000 0.000 0.752
0.000 0.500 0.122
0.000 0.500 0.374
0.000 0.500 0.626
0.000 0.500 0.878
0.500 0.000 0.122
0.500 0.000 0.374
0.500 0.000 0.626
0.500 0.000 0.878
0.500 0.500 0.248
0.500 0.500 0.500
0.500 0.500 0.752
0.500 0.500 0.000

---

11.
PBE-GGA NdCd6Hg8, optimized geometry; energy relative to the elements = -0.01 eV/atom; excess energy over the best structure of this formula in the dataset = 0.46 eV/f.u.
1.0
4.111 2.374 6.728
-4.111 2.374 6.728
0.000 -4.747 6.728
Nd Cd Hg
1 6 8
Direct
0.000 0.000 0.000
0.148 0.431 0.600
0.400 0.852 0.569
0.431 0.600 0.148
0.569 0.400 0.852
0.600 0.148 0.431
0.852 0.569 0.400
0.123 0.632 0.877
0.123 0.877 0.368
0.265 0.265 0.265
0.368 0.123 0.877
0.632 0.877 0.123
0.735 0.735 0.735
0.877 0.123 0.632
0.877 0.368 0.123

---

12.
PBE-GGA Na2TeO3, optimized geometry; uncorrected formation energy = -742 kJ/mol of formula units
1.0
5.839 0.000 0.000
-2.919 5.056 0.000
0.000 0.000 5.983
Na Te O
4 2 6
Direct
0.333 0.667 0.000
0.333 0.667 0.500
0.667 0.333 0.000
0.667 0.333 0.500
0.000 0.000 0.250
0.000 0.000 0.750
0.000 0.330 0.250
0.000 0.670 0.750
0.330 0.000 0.250
0.330 0.330 0.750
0.670 0.000 0.750
0.670 0.670 0.250

---

13.
PBE-GGA LiZrIr2, optimized geometry; energy relative to the elements = -0.25 eV/atom; excess energy over the best structure of this formula in the dataset = 1.27 eV/f.u.
1.0
5.621 0.000 0.000
0.000 8.752 0.000
-1.200 0.000 2.559
Li Zr Ir
2 2 4
Direct
0.000 0.000 0.000
0.500 0.500 0.000
0.000 0.500 0.000
0.500 0.000 0.000
0.250 0.250 0.500
0.250 0.750 0.500
0.750 0.250 0.500
0.750 0.750 0.500

---

14.
PBE-GGA Pr2OsI, optimized geometry; uncorrected formation energy = -181 kJ/mol of formula units; excess energy over the best structure of this formula in the dataset = 0.00 eV/f.u.
1.0
4.237 0.000 0.000
-2.118 3.669 0.000
0.000 0.000 24.436
Pr Os I
6 3 3
Direct
0.000 0.000 0.228
0.000 0.000 0.772
0.333 0.667 0.438
0.333 0.667 0.895
0.667 0.333 0.105
0.667 0.333 0.562
0.000 0.000 0.500
0.333 0.667 0.167
0.667 0.333 0.833
0.000 0.000 0.000
0.333 0.667 0.667
0.667 0.333 0.333

---

15.
PBE-GGA Rb2AsI6N, optimized geometry; uncorrected formation energy = -183 kJ/mol of formula units
1.0
-3.890 3.890 5.765
3.890 -3.890 5.765
3.890 3.890 -5.765
Rb As I N
2 1 6 1
Direct
0.250 0.750 0.500
0.750 0.250 0.500
0.000 0.000 0.000
0.252 0.252 0.000
0.264 0.264 0.527
0.264 0.736 0.000
0.736 0.264 0.000
0.736 0.736 0.473
0.748 0.748 0.000
0.500 0.500 0.000

---

16.
PBE-GGA DyAl3ZnAu, optimized geometry; energy relative to the elements = -0.21 eV/atom
1.0
3.295 -6.296 0.000
3.295 6.296 0.000
0.000 0.000 5.706
Dy Al Zn Au
2 6 2 2
Direct
0.206 0.794 0.750
0.794 0.206 0.250
0.202 0.202 0.000
0.202 0.202 0.500
0.361 0.639 0.250
0.639 0.361 0.750
0.798 0.798 0.000
0.798 0.798 0.500
0.425 0.575 0.750
0.575 0.425 0.250
0.153 0.847 0.250
0.847 0.153 0.750

---

17.
PBE-GGA CuHg2Br, optimized geometry; uncorrected formation energy = 115 kJ/mol of formula units; excess energy over the best structure of this formula in the dataset = 1.56 eV/f.u.
1.0
4.897 0.000 0.000
0.000 4.897 0.000
0.000 0.000 8.050
Cu Hg Br
2 4 2
Direct
0.000 0.000 0.000
0.500 0.500 0.500
0.000 0.000 0.500
0.000 0.500 0.750
0.500 0.000 0.250
0.500 0.500 0.000
0.000 0.500 0.250
0.500 0.000 0.750

---

18.
PBE-GGA ScP2Cl, optimized geometry; uncorrected formation energy = 40 kJ/mol of formula units; excess energy over the best structure of this formula in the dataset = 4.14 eV/f.u.
1.0
3.232 0.000 0.000
-1.616 2.799 0.000
0.000 0.000 24.732
Sc P Cl
3 6 3
Direct
0.000 0.000 0.000
0.333 0.667 0.667
0.667 0.333 0.333
0.000 0.000 0.255
0.000 0.000 0.745
0.333 0.667 0.412
0.333 0.667 0.922
0.667 0.333 0.078
0.667 0.333 0.588
0.000 0.000 0.500
0.333 0.667 0.167
0.667 0.333 0.833

---

19.
PBE-GGA Li2Ag2Au5, optimized geometry; energy relative to the elements = -0.27 eV/atom; excess energy over the best structure of this formula in the dataset = 0.00 eV/f.u.
1.0
5.034 0.000 0.000
0.796 4.981 0.000
0.639 1.556 6.167
Li Ag Au
2 2 5
Direct
0.208 0.128 0.063
0.792 0.872 0.937
0.445 0.219 0.617
0.555 0.781 0.383
0.000 0.000 0.500
0.108 0.571 0.271
0.333 0.673 0.841
0.667 0.327 0.159
0.892 0.429 0.729

---

20.
PBE-GGA As2RuAuBr, optimized geometry; uncorrected formation energy = 257 kJ/mol of formula units; excess energy over the best structure of this formula in the dataset = 0.00 eV/f.u.
1.0
4.703 0.000 0.000
0.000 4.703 0.000
0.000 0.000 5.311
As Ru Au Br
2 1 1 1
Direct
0.000 0.500 0.000
0.500 0.000 0.000
0.000 0.000 0.000
0.500 0.500 0.500
0.000 0.000 0.500